A relaxed structure of Mn2MoP12, computed with GGA-PBEsol.

Geometry as POSCAR:
```
Mn2MoP12
1.0
7.903 -2.838 0.000
7.903 2.838 0.000
-4.552 0.000 9.422
Mn Mo P
4 2 24
Cartesian
0.702 1.745 9.001
8.275 1.745 5.133
2.978 -1.745 4.289
10.551 -1.745 0.422
4.489 1.113 7.067
6.765 -1.113 2.356
-0.985 0.991 7.865
7.026 2.595 0.703
2.039 1.822 7.178
0.967 0.987 5.427
6.503 2.595 4.009
5.425 0.782 3.149
6.938 1.822 6.955
3.805 0.291 4.700
1.291 -0.991 3.154
3.243 -0.987 0.716
8.104 0.782 1.563
1.529 -0.291 9.411
9.724 0.291 0.011
3.149 -0.782 7.860
8.010 0.987 8.707
9.962 0.991 6.268
7.448 -0.291 4.723
4.315 -1.822 2.467
5.828 -0.782 6.274
4.750 -2.595 5.414
10.286 -0.987 3.995
9.214 -1.822 2.244
4.227 -2.595 8.720
12.238 -0.991 1.557
```

Calculated values
**Spin magnetization**: 0.0 Bohr magnetons per cell
**Theoretical density**: 4.54 Mg/m³
**Energy of formation from the pure elements**: -0.4369 eV per atom
**Total DFT energy (no corrections)**: -7.16 eV/atom